1.
KZrSb2: relaxed, GGA-PBE.

Summary:
For the formation energy (no corrections), the calculation gives -51 kJ/mol of formula units.

a b c (Å): 6.6282 6.6282 9.9601
angles (deg): 70.57 70.57 90.00
With the nearest neighbours (Å) after each atom.
Fractional positions:
Sb1 0.8728 0.1250 0.2500  2 Zr 2.75
Sb2 0.8772 0.6250 0.2500  2 Zr 2.75
Sb3 0.3750 0.1272 0.7500  2 Zr 2.75
Sb4 0.8750 0.1228 0.7500  2 Zr 2.75
K1 0.5000 0.5000 0.0000  8 Sb 4.30-4.32, 4 Zr 4.69
K2 0.2500 0.7500 0.5000  8 Sb 4.30-4.32, 4 Zr 4.69
Zr1 0.0000 0.0000 0.0000  4 Sb 2.75
Zr2 0.7500 0.2500 0.5000  4 Sb 2.75

***

2.
Sr2CO4: relaxed, GGA-PBE.

Summary:
For the formation energy (no corrections), the calculation gives -1555 kJ/mol of formula units.

a b c (Å): 5.3159 5.2289 7.2887
angles (deg): 90.00 100.85 90.00
With the nearest neighbours (Å) after each atom.
Fractional positions:
Sr1 0.7251 0.7500 0.0301  8 O 2.49-2.72
Sr2 0.2749 0.2500 0.9699  8 O 2.49-2.72
Sr3 0.2410 0.2500 0.4681  5 O 2.48-2.56
Sr4 0.7590 0.7500 0.5319  5 O 2.48-2.56
C1 0.2917 0.7500 0.2231  4 O 1.41-1.44
C2 0.7083 0.2500 0.7769  4 O 1.41-1.44
O1 0.4484 0.5310 0.2667  1 C 1.42
O2 0.1941 0.7500 0.0290  1 C 1.41
O3 0.8059 0.2500 0.9710  1 C 1.41
O4 0.4484 0.9690 0.2667  1 C 1.42
O5 0.9093 0.2500 0.6695  1 C 1.44
O6 0.5516 0.0310 0.7333  1 C 1.42
O7 0.5516 0.4690 0.7333  1 C 1.42
O8 0.0907 0.7500 0.3305  1 C 1.44

***

3.
NpScSb2: relaxed, GGA-PBE.

Summary:
For the formation energy (no corrections), the calculation gives -189 kJ/mol of formula units.

a b c (Å): 4.1219 4.1219 7.9081
angles (deg): 74.89 74.89 60.00
With the nearest neighbours (Å) after each atom.
Fractional positions:
Np1 0.4987 0.4987 0.5040  6 Sb 3.12-3.15
Sc1 0.6684 0.6684 0.9948  6 Sb 2.92-2.97
Sb1 0.0764 0.0764 0.7709  3 Sc 2.92, 3 Np 3.12
Sb2 0.2566 0.2566 0.2303  3 Sc 2.97, 3 Np 3.15

***

4.
Th2MgPa: relaxed, GGA-PBE.

Summary:
The value obtained for the formation enthalpy at 0 K is 0.316 eV per atom.

a b c (Å): 3.3229 3.3229 12.6751
angles (deg): 82.47 82.47 60.00
With the nearest neighbours (Å) after each atom.
Fractional positions:
Mg1 0.0000 0.0000 0.0000  6 Mg 3.32, 2 Th 3.34
Pa1 0.5000 0.5000 0.5000  6 Pa 3.32, 6 Th 3.50
Th1 0.0887 0.0887 0.7338  6 Th 3.32, 1 Mg 3.34, 3 Pa 3.50
Th2 0.9113 0.9113 0.2662  6 Th 3.32, 1 Mg 3.34, 3 Pa 3.50

***

| no. | E above lowest polymorph (eV per atom) | ρ (Mg/m³) |
| --- | --- | --- |
| 1 | 0.366 | 3.2 |
| 2 | 0.000 | 4.2 |
| 3 | 0.070 | 7.9 |
| 4 | 0.192 | 10.0 |